# 1
Here is a relaxed ZrCoRe2 crystal from Alexandria. Energies are from PBE.

Properties
As for the space-group type: No. 166. Its crystal system is trigonal. For the final energy, the calculation gives -118.112 eV for the cell shown. For the total magnetic moment, the calculation gives 2.36 Bohr magnetons per cell.

a b c (Å): 2.764 2.764 28.114
angles (deg): 90.00 90.00 120.00
Element x y z (fractional)
Zr: 0.000 0.000 0.000
Zr: 0.333 0.667 0.667
Zr: 0.667 0.333 0.333
Co: 0.000 0.000 0.500
Co: 0.333 0.667 0.167
Co: 0.667 0.333 0.833
Re: 0.000 0.000 0.239
Re: 0.000 0.000 0.761
Re: 0.333 0.667 0.428
Re: 0.333 0.667 0.906
Re: 0.667 0.333 0.094
Re: 0.667 0.333 0.572

=====

# 2
Here is a relaxed ZrCoRe2 crystal from Alexandria. Energies are from PBE.

Properties
As for the space-group type: No. 12. Its crystal system is monoclinic. For the final energy, the calculation gives -80.739 eV for the cell shown. For the total magnetic moment, the calculation gives 1.39 Bohr magnetons per cell.

a b c (Å): 9.957 2.822 4.573
angles (deg): 90.00 104.98 90.00
Element x y z (fractional)
Zr: 0.000 0.000 0.000
Zr: 0.500 0.500 0.000
Co: 0.000 0.500 0.500
Co: 0.500 0.000 0.500
Re: 0.220 0.000 0.721
Re: 0.280 0.500 0.279
Re: 0.720 0.500 0.721
Re: 0.780 0.000 0.279

=====

# 3
Here is a relaxed ZrCo2Re crystal from Alexandria. Energies are from PBE.

Properties
As for the space-group type: No. 123. Its crystal system is tetragonal. For the final energy, the calculation gives -35.101 eV for the cell shown. For the total magnetic moment, the calculation gives 3.02 Bohr magnetons per cell.

a b c (Å): 4.148 4.148 3.356
angles (deg): 90.00 90.00 90.00
Element x y z (fractional)
Zr: 0.000 0.000 0.000
Co: 0.000 0.500 0.500
Co: 0.500 0.000 0.500
Re: 0.500 0.500 0.000

=====

# 4
Here is a relaxed ZrCo2Re crystal from Alexandria. Energies are from PBE.

Properties
As for the space-group type: No. 216. Its crystal system is cubic. For the final energy, the calculation gives -137.327 eV for the cell shown. For the total magnetic moment, the calculation gives 3.85 Bohr magnetons per cell.

a b c (Å): 6.132 6.132 6.132
angles (deg): 90.00 90.00 90.00
Element x y z (fractional)
Zr: 0.000 0.000 0.000
Zr: 0.000 0.500 0.500
Zr: 0.500 0.000 0.500
Zr: 0.500 0.500 0.000
Co: 0.000 0.000 0.500
Co: 0.000 0.500 0.000
Co: 0.250 0.250 0.250
Co: 0.250 0.750 0.750
Co: 0.500 0.000 0.000
Co: 0.500 0.500 0.500
Co: 0.750 0.250 0.750
Co: 0.750 0.750 0.250
Re: 0.250 0.250 0.750
Re: 0.250 0.750 0.250
Re: 0.750 0.250 0.250
Re: 0.750 0.750 0.750

=====

# 5
Here is a relaxed ZrCo3Re crystal from Alexandria. Energies are from PBE.

Properties
As for the space-group type: No. 221. Its crystal system is cubic. For the final energy, the calculation gives -37.628 eV for the cell shown. For the total magnetic moment, the calculation gives 0.00 Bohr magnetons per cell.

a b c (Å): 4.409 4.409 4.409
angles (deg): 90.00 90.00 90.00
Element x y z (fractional)
Zr: 0.000 0.000 0.000
Co: 0.000 0.500 0.500
Co: 0.500 0.000 0.500
Co: 0.500 0.500 0.000
Re: 0.500 0.500 0.500

=====

# 6
Here is a relaxed ZrCo2Re crystal from Alexandria. Energies are from PBE.

Properties
As for the space-group type: No. 99. Its crystal system is tetragonal. For the final energy, the calculation gives -34.793 eV for the cell shown. For the total magnetic moment, the calculation gives 2.05 Bohr magnetons per cell.

a b c (Å): 2.796 2.796 7.368
angles (deg): 90.00 90.00 90.00
Element x y z (fractional)
Zr: 0.000 0.000 0.000
Co: 0.000 0.000 0.462
Co: 0.500 0.500 0.267
Re: 0.500 0.500 0.681

=====

# 7
Here is a relaxed ZrCoRe2 crystal from Alexandria. Energies are from PBE.

Properties
As for the space-group type: No. 65. Its crystal system is orthorhombic. For the final energy, the calculation gives -78.645 eV for the cell shown. For the total magnetic moment, the calculation gives 1.19 Bohr magnetons per cell.

a b c (Å): 5.319 8.356 2.814
angles (deg): 90.00 90.00 90.00
Element x y z (fractional)
Zr: 0.000 0.000 0.000
Zr: 0.500 0.500 0.000
Co: 0.000 0.500 0.000
Co: 0.500 0.000 0.000
Re: 0.250 0.250 0.500
Re: 0.250 0.750 0.500
Re: 0.750 0.250 0.500
Re: 0.750 0.750 0.500

=====

# 8
Here is a relaxed ZrCoRe2 crystal from Alexandria. Energies are from PBE.

Properties
As for the space-group type: No. 216. Its crystal system is cubic. For the final energy, the calculation gives -161.981 eV for the cell shown. For the total magnetic moment, the calculation gives 6.89 Bohr magnetons per cell.

a b c (Å): 6.292 6.292 6.292
angles (deg): 90.00 90.00 90.00
Element x y z (fractional)
Zr: 0.000 0.000 0.000
Zr: 0.000 0.500 0.500
Zr: 0.500 0.000 0.500
Zr: 0.500 0.500 0.000
Co: 0.250 0.250 0.750
Co: 0.250 0.750 0.250
Co: 0.750 0.250 0.250
Co: 0.750 0.750 0.750
Re: 0.000 0.000 0.500
Re: 0.000 0.500 0.000
Re: 0.250 0.250 0.250
Re: 0.250 0.750 0.750
Re: 0.500 0.000 0.000
Re: 0.500 0.500 0.500
Re: 0.750 0.250 0.750
Re: 0.750 0.750 0.250

=====

# 9
Here is a relaxed ZrCoRe2 crystal from Alexandria. Energies are from PBE.

Properties
As for the space-group type: No. 8. Its crystal system is monoclinic. For the final energy, the calculation gives -79.822 eV for the cell shown. For the total magnetic moment, the calculation gives 1.43 Bohr magnetons per cell.

a b c (Å): 9.035 2.980 4.818
angles (deg): 90.00 101.93 90.00
Element x y z (fractional)
Zr: 0.000 0.000 0.000
Zr: 0.500 0.500 0.000
Co: 0.247 0.000 0.790
Co: 0.747 0.500 0.790
Re: 0.012 0.500 0.512
Re: 0.271 0.500 0.351
Re: 0.512 0.000 0.512
Re: 0.771 0.000 0.351

=====

# 10
Here is a relaxed Zr8Co2Re crystal from Alexandria. Energies are from PBE.

Properties
As for the space-group type: No. 12. Its crystal system is monoclinic. For the final energy, the calculation gives -95.570 eV for the cell shown. For the total magnetic moment, the calculation gives 0.00 Bohr magnetons per cell.

a b c (Å): 7.187 7.187 5.146
angles (deg): 99.39 99.39 117.45
Element x y z (fractional)
Zr: 0.086 0.329 0.573
Zr: 0.226 0.774 0.000
Zr: 0.329 0.086 0.573
Zr: 0.375 0.375 0.169
Zr: 0.625 0.625 0.831
Zr: 0.671 0.914 0.427
Zr: 0.774 0.226 0.000
Zr: 0.914 0.671 0.427
Co: 0.296 0.704 0.500
Co: 0.704 0.296 0.500
Re: 0.000 0.000 0.000

=====

# 11
Here is a relaxed ZrCoRe2 crystal from Alexandria. Energies are from PBE.

Properties
As for the space-group type: No. 99. Its crystal system is tetragonal. For the final energy, the calculation gives -40.565 eV for the cell shown. For the total magnetic moment, the calculation gives 1.45 Bohr magnetons per cell.

a b c (Å): 3.075 3.075 6.712
angles (deg): 90.00 90.00 90.00
Element x y z (fractional)
Zr: 0.000 0.000 0.000
Co: 0.500 0.500 0.271
Re: 0.000 0.000 0.486
Re: 0.500 0.500 0.705

=====

# 12
Here is a relaxed ZrCo2Re crystal from Alexandria. Energies are from PBE.

Properties
As for the space-group type: No. 12. Its crystal system is monoclinic. For the final energy, the calculation gives -70.361 eV for the cell shown. For the total magnetic moment, the calculation gives 0.00 Bohr magnetons per cell.

a b c (Å): 5.540 7.280 2.776
angles (deg): 90.00 90.22 90.00
Element x y z (fractional)
Zr: 0.000 0.000 0.000
Zr: 0.500 0.500 0.000
Co: 0.250 0.250 0.500
Co: 0.250 0.750 0.500
Co: 0.750 0.250 0.500
Co: 0.750 0.750 0.500
Re: 0.000 0.500 0.000
Re: 0.500 0.000 0.000

=====

# 13
Here is a relaxed ZrCo2Re crystal from Alexandria. Energies are from PBE.

Properties
As for the space-group type: No. 8. Its crystal system is monoclinic. For the final energy, the calculation gives -70.105 eV for the cell shown. For the total magnetic moment, the calculation gives 0.94 Bohr magnetons per cell.

a b c (Å): 8.942 2.794 4.670
angles (deg): 90.00 101.91 90.00
Element x y z (fractional)
Zr: 0.000 0.000 0.000
Zr: 0.500 0.500 0.000
Co: 0.259 0.500 0.216
Co: 0.490 0.000 0.498
Co: 0.759 0.000 0.216
Co: 0.990 0.500 0.498
Re: 0.228 0.000 0.651
Re: 0.728 0.500 0.651

=====

# 14
Here is a relaxed ZrCoRe2 crystal from Alexandria. Energies are from PBE.

Properties
As for the space-group type: No. 65. Its crystal system is orthorhombic. For the final energy, the calculation gives -80.098 eV for the cell shown. For the total magnetic moment, the calculation gives 1.21 Bohr magnetons per cell.

a b c (Å): 3.492 4.174 8.399
angles (deg): 90.00 90.00 90.00
Element x y z (fractional)
Zr: 0.000 0.000 0.000
Zr: 0.500 0.500 0.000
Co: 0.000 0.000 0.500
Co: 0.500 0.500 0.500
Re: 0.000 0.500 0.286
Re: 0.000 0.500 0.714
Re: 0.500 0.000 0.286
Re: 0.500 0.000 0.714

=====

# 15
Here is a relaxed ZrCo2Re2 crystal from Alexandria. Energies are from PBE.

Properties
As for the space-group type: No. 127. Its crystal system is tetragonal. For the final energy, the calculation gives -94.885 eV for the cell shown. For the total magnetic moment, the calculation gives 0.00 Bohr magnetons per cell.

a b c (Å): 7.407 7.407 2.654
angles (deg): 90.00 90.00 90.00
Element x y z (fractional)
Zr: 0.000 0.000 0.000
Zr: 0.500 0.500 0.000
Co: 0.172 0.328 0.500
Co: 0.328 0.828 0.500
Co: 0.672 0.172 0.500
Co: 0.828 0.672 0.500
Re: 0.124 0.624 0.000
Re: 0.376 0.124 0.000
Re: 0.624 0.876 0.000
Re: 0.876 0.376 0.000

=====

# 16
Here is a relaxed ZrCo2Re crystal from Alexandria. Energies are from PBE.

Properties
As for the space-group type: No. 99. Its crystal system is tetragonal. For the final energy, the calculation gives -35.018 eV for the cell shown. For the total magnetic moment, the calculation gives 0.08 Bohr magnetons per cell.

a b c (Å): 3.132 3.132 5.934
angles (deg): 90.00 90.00 90.00
Element x y z (fractional)
Zr: 0.000 0.000 0.000
Co: 0.000 0.000 0.482
Co: 0.500 0.500 0.262
Re: 0.500 0.500 0.677

=====

# 17
Here is a relaxed ZrCoRe2 crystal from Alexandria. Energies are from PBE.

Properties
As for the space-group type: No. 44. Its crystal system is orthorhombic. For the final energy, the calculation gives -80.169 eV for the cell shown. For the total magnetic moment, the calculation gives 2.77 Bohr magnetons per cell.

a b c (Å): 3.186 4.524 8.729
angles (deg): 90.00 90.00 90.00
Element x y z (fractional)
Zr: 0.000 0.000 0.000
Zr: 0.500 0.500 0.500
Co: 0.000 0.500 0.238
Co: 0.500 0.000 0.738
Re: 0.000 0.000 0.497
Re: 0.000 0.500 0.764
Re: 0.500 0.000 0.264
Re: 0.500 0.500 0.997

=====

# 18
Here is a relaxed ZrCoRe2 crystal from Alexandria. Energies are from PBE.

Properties
As for the space-group type: No. 47. Its crystal system is orthorhombic. For the final energy, the calculation gives -39.919 eV for the cell shown. For the total magnetic moment, the calculation gives 0.76 Bohr magnetons per cell.

a b c (Å): 3.167 3.206 6.199
angles (deg): 90.00 90.00 90.00
Element x y z (fractional)
Zr: 0.000 0.000 0.000
Co: 0.000 0.000 0.500
Re: 0.500 0.500 0.299
Re: 0.500 0.500 0.701

=====

# 19
Here is a relaxed ZrCoRe2 crystal from Alexandria. Energies are from PBE.

Properties
As for the space-group type: No. 123. Its crystal system is tetragonal. For the final energy, the calculation gives -40.063 eV for the cell shown. For the total magnetic moment, the calculation gives 0.19 Bohr magnetons per cell.

a b c (Å): 2.718 2.718 8.279
angles (deg): 90.00 90.00 90.00
Element x y z (fractional)
Zr: 0.000 0.000 0.000
Co: 0.000 0.000 0.500
Re: 0.500 0.500 0.289
Re: 0.500 0.500 0.711

=====

# 20
Here is a relaxed ZrCo2Re crystal from Alexandria. Energies are from PBE.

Properties
As for the space-group type: No. 160. Its crystal system is trigonal. For the final energy, the calculation gives -101.768 eV for the cell shown. For the total magnetic moment, the calculation gives 8.65 Bohr magnetons per cell.

a b c (Å): 2.765 2.765 26.727
angles (deg): 90.00 90.00 120.00
Element x y z (fractional)
Zr: 0.000 0.000 0.000
Zr: 0.333 0.667 0.667
Zr: 0.667 0.333 0.333
Co: 0.000 0.000 0.244
Co: 0.000 0.000 0.507
Co: 0.333 0.667 0.174
Co: 0.333 0.667 0.910
Co: 0.667 0.333 0.577
Co: 0.667 0.333 0.841
Re: 0.000 0.000 0.765
Re: 0.333 0.667 0.431
Re: 0.667 0.333 0.098

=====

Number 1: ΔH_f (0 K) 0.295 eV/atom. Number 2: ΔH_f (0 K) 0.045 eV/atom. Number 3: ΔH_f (0 K) 0.027 eV/atom. Number 4: ΔH_f (0 K) 0.219 eV/atom. Number 5: ΔH_f (0 K) 0.937 eV/atom. Number 6: ΔH_f (0 K) 0.104 eV/atom. Number 7: ΔH_f (0 K) 0.307 eV/atom. Number 8: ΔH_f (0 K) 0.014 eV/atom. Number 9: ΔH_f (0 K) 0.160 eV/atom. Number 10: ΔH_f (0 K) -0.048 eV/atom. Number 11: ΔH_f (0 K) -0.004 eV/atom. Number 12: ΔH_f (0 K) 0.007 eV/atom. Number 13: ΔH_f (0 K) 0.039 eV/atom. Number 14: ΔH_f (0 K) 0.125 eV/atom. Number 15: ΔH_f (0 K) 0.043 eV/atom. Number 16: ΔH_f (0 K) 0.048 eV/atom. Number 17: ΔH_f (0 K) 0.116 eV/atom. Number 18: ΔH_f (0 K) 0.158 eV/atom. Number 19: ΔH_f (0 K) 0.122 eV/atom. Number 20: ΔH_f (0 K) 0.321 eV/atom.